First-principles (PBEsol) data for PRhW2 after structural relaxation, as listed in Alexandria via LeMat-Bulk.

For the magnetic moment, the calculation gives 0.000 μB per atom. The energy of formation from the pure elements is 0.143 eV/atom. The value obtained for the raw total energy is -10.24 eV per atom.

The structure belongs to space group C2/m (No. 12); the cell edges are 5.287, 7.985 and 2.780 Å and the angles 90.00°, 103.68° and 90.00°. The asymmetric unit holds P at (0.000, 0.000, 0.000), Rh at (0.000, 0.500, 0.000) and W at (0.250, 0.250, 0.500).

---

First-principles (PBEsol) data for PRhW2 after structural relaxation, as listed in Alexandria via LeMat-Bulk.

For the magnetic moment, the calculation gives 0.000 μB per atom. The energy of formation from the pure elements is 0.142 eV/atom. The value obtained for the raw total energy is -10.24 eV per atom.

The structure belongs to space group I4/mmm (No. 139); the cell edges are 3.737, 3.737 and 8.071 Å and the angles 90.00°, 90.00° and 90.00°. The asymmetric unit holds P at (0.000, 0.000, 0.000), Rh at (0.000, 0.000, 0.500) and W at (0.000, 0.500, 0.250).

---

First-principles (PBEsol) data for ZrPRhW2 after structural relaxation, as listed in Alexandria via LeMat-Bulk.

For the magnetic moment, the calculation gives 0.000 μB per atom. The energy of formation from the pure elements is 0.165 eV/atom. The value obtained for the raw total energy is -9.96 eV per atom.

The structure belongs to space group P4/mmm (No. 123); the cell edges are 4.458, 4.458 and 4.306 Å and the angles 90.00°, 90.00° and 90.00°. The asymmetric unit holds Zr at (0.000, 0.000, 0.000), P at (0.500, 0.500, 0.500), Rh at (0.500, 0.500, 0.000) and W at (0.000, 0.500, 0.500).